1.
A plane-wave DFT calculation with PBE was carried out for an optimized crystal structure of Ti8SiSb2.

Cell lengths 8.170, 8.170, 5.157 Å; angles 94.59, 94.59, 33.52 degrees
Element x y z (fractional)
Ti  0.042  0.042  0.254
Ti  0.234  0.234  0.335
Ti  0.335  0.335  0.901
Ti  0.415  0.415  0.456
Ti  0.585  0.585  0.544
Ti  0.665  0.665  0.099
Ti  0.766  0.766  0.665
Ti  0.958  0.958  0.746
Si  0.500  0.500  0.000
Sb  0.152  0.152  0.791
Sb  0.848  0.848  0.209

Results
Uncorrected formation energy (eV per atom): -0.367
SG: C2/m, No. 12
Calculated total energy (eV/atom): -7.35

=====

2.
A plane-wave DFT calculation with PBE was carried out for an optimized crystal structure of KBaSr2Se.

Cell lengths 6.250, 6.250, 6.654 Å; angles 90.00, 90.00, 90.00 degrees
Element x y z (fractional)
K  0.000  0.000  0.000
Ba  0.500  0.500  0.000
Sr  0.000  0.500  0.500
Sr  0.500  0.000  0.500
Se  0.500  0.500  0.500

Results
Uncorrected formation energy (eV per atom): -0.644
SG: P4/mmm, No. 123
Calculated total energy (eV/atom): -2.62

=====

3.
A plane-wave DFT calculation with PBE was carried out for an optimized crystal structure of LaInCu.

Cell lengths 6.401, 6.401, 6.401 Å; angles 148.58, 148.58, 45.04 degrees
Element x y z (fractional)
La  0.000  0.000  0.000
In  0.291  0.291  0.000
Cu  0.670  0.670  0.000

Results
SG: I4mm, No. 107
Calculated total energy (eV/atom): -4.11
Energy of formation from the pure elements (eV/atom): -0.194

=====

4.
A plane-wave DFT calculation with PBE was carried out for an optimized crystal structure of Pr2HoTlC.

Cell lengths 5.190, 5.190, 4.906 Å; angles 90.00, 90.00, 90.00 degrees
Element x y z (fractional)
Pr  0.000  0.500  0.000
Pr  0.500  0.000  0.000
Ho  0.000  0.000  0.500
Tl  0.500  0.500  0.500
C  0.000  0.000  0.000

Results
SG: P4/mmm, No. 123
Calculated total energy (eV/atom): -5.45
Energy of formation from the pure elements (eV/atom): -0.304

=====

5.
A plane-wave DFT calculation with PBE was carried out for an optimized crystal structure of MgMnBr.

Cell lengths 4.595, 4.595, 3.443 Å; angles 90.00, 90.00, 120.00 degrees
Element x y z (fractional)
Mg  0.000  0.000  0.000
Mn  0.667  0.333  0.500
Br  0.333  0.667  0.500

Results
Uncorrected formation energy (eV per atom): 0.219
SG: P-6m2, No. 187
Calculated total energy (eV/atom): -3.93
Polymorph energy (0 for the lowest one) (meV per atom): 263

=====

6.
A plane-wave DFT calculation with PBE was carried out for an optimized crystal structure of InPb3Br7.

Cell lengths 7.364, 7.364, 7.364 Å; angles 100.53, 100.53, 100.53 degrees
Element x y z (fractional)
In  0.000  0.000  0.000
Pb  0.103  0.552  0.552
Pb  0.552  0.103  0.552
Pb  0.552  0.552  0.103
Br  0.263  0.263  0.778
Br  0.263  0.778  0.263
Br  0.310  0.310  0.310
Br  0.459  0.824  0.824
Br  0.778  0.263  0.263
Br  0.824  0.459  0.824
Br  0.824  0.824  0.459

Results
Uncorrected formation energy (eV per atom): -0.837
SG: R3m, No. 160
Calculated total energy (eV/atom): -3.16

=====

7.
A plane-wave DFT calculation with PBE was carried out for an optimized crystal structure of PmThI6.

Cell lengths 8.737, 8.737, 8.737 Å; angles 60.00, 60.00, 60.00 degrees
Element x y z (fractional)
Pm  0.000  0.000  0.000
Th  0.500  0.500  0.500
I  0.251  0.251  0.749
I  0.251  0.749  0.251
I  0.251  0.749  0.749
I  0.749  0.251  0.251
I  0.749  0.251  0.749
I  0.749  0.749  0.251

Results
Uncorrected formation energy (eV per atom): -1.134
SG: Fm-3m, No. 225
Calculated total energy (eV/atom): -3.82

=====

8.
A plane-wave DFT calculation with PBE was carried out for an optimized crystal structure of Th3Ge.

Cell lengths 4.816, 4.816, 4.816 Å; angles 90.00, 90.00, 90.00 degrees
Element x y z (fractional)
Th  0.000  0.000  0.500
Th  0.000  0.500  0.000
Th  0.500  0.000  0.000
Ge  0.500  0.500  0.500

Results
SG: Pm-3m, No. 221
Calculated total energy (eV/atom): -6.95
Energy of formation from the pure elements (eV/atom): -0.234
Polymorph energy (0 for the lowest one) (meV per atom): 174

=====

9.
A plane-wave DFT calculation with PBE was carried out for an optimized crystal structure of Tl4Cd3AgF12.

Cell lengths 7.768, 7.768, 7.768 Å; angles 109.47, 109.47, 109.47 degrees
Element x y z (fractional)
Tl  0.000  0.000  0.500
Tl  0.000  0.500  0.000
Tl  0.500  0.000  0.000
Tl  0.500  0.500  0.500
Cd  0.000  0.500  0.500
Cd  0.500  0.000  0.500
Cd  0.500  0.500  0.000
Ag  0.000  0.000  0.000
F  0.000  0.251  0.251
F  0.000  0.749  0.749
F  0.250  0.500  0.750
F  0.250  0.750  0.500
F  0.251  0.000  0.251
F  0.251  0.251  0.000
F  0.500  0.250  0.750
F  0.500  0.750  0.250
F  0.749  0.000  0.749
F  0.749  0.749  0.000
F  0.750  0.250  0.500
F  0.750  0.500  0.250

Results
Uncorrected formation energy (eV per atom): -1.867
SG: Im-3m, No. 229
Calculated total energy (eV/atom): -3.74

=====

10.
A plane-wave DFT calculation with PBE was carried out for an optimized crystal structure of TbY3Er3Se8.

Cell lengths 8.103, 8.103, 8.103 Å; angles 59.94, 59.94, 59.94 degrees
Element x y z (fractional)
Tb  0.000  0.000  0.000
Y  0.000  0.000  0.500
Y  0.000  0.500  0.000
Y  0.500  0.000  0.000
Er  0.000  0.500  0.500
Er  0.500  0.000  0.500
Er  0.500  0.500  0.000
Se  0.251  0.251  0.251
Se  0.255  0.255  0.742
Se  0.255  0.742  0.255
Se  0.258  0.745  0.745
Se  0.742  0.255  0.255
Se  0.745  0.258  0.745
Se  0.745  0.745  0.258
Se  0.749  0.749  0.749

Results
Uncorrected formation energy (eV per atom): -1.822
SG: R-3m, No. 166
Calculated total energy (eV/atom): -6.19

=====

11.
A plane-wave DFT calculation with PBE was carried out for an optimized crystal structure of La2SmYP4.

Cell lengths 7.218, 4.171, 7.219 Å; angles 90.00, 109.45, 90.00 degrees
Element x y z (fractional)
La  0.000  0.000  0.000
La  0.500  0.500  0.000
Sm  0.000  0.500  0.500
Y  0.500  0.000  0.500
P  0.249  0.000  0.740
P  0.256  0.500  0.261
P  0.744  0.500  0.739
P  0.751  0.000  0.260

Results
SG: P2/m, No. 10
Calculated total energy (eV/atom): -6.91
Energy of formation from the pure elements (eV/atom): -1.579

=====

12.
A plane-wave DFT calculation with PBE was carried out for an optimized crystal structure of VMoPCl2.

Cell lengths 4.831, 4.831, 4.791 Å; angles 90.00, 90.00, 90.00 degrees
Element x y z (fractional)
V  0.000  0.000  0.000
Mo  0.500  0.500  0.500
P  0.500  0.500  0.000
Cl  0.000  0.500  0.500
Cl  0.500  0.000  0.500

Results
Uncorrected formation energy (eV per atom): 0.507
SG: P4/mmm, No. 123
Calculated total energy (eV/atom): -5.30
Polymorph energy (0 for the lowest one) (meV per atom): 12